[1]
Tm7Te2Ru2 after structural relaxation. Source: Alexandria, functional PBE.

Summary:
- SG: Cmmm, No. 65
- Total magnetization: 0.00 μB per cell
- VASP energy: -62.06 eV per cell
- Excess energy over the best structure of this formula in the dataset: 187 meV per atom
- Formation energy without anion corrections: -0.54 eV/atom

Lattice parameters (Å, degrees): 7.2472 6.6820 6.6820 80.52 90.00 90.00
Last column: nearest neighbours and their distance in Å.
Sites, in units of the cell vectors:
Te (0.5000, 0.2229, 0.7771)  6 Tm 3.13-3.21
Te (0.5000, 0.7771, 0.2229)  6 Tm 3.13-3.21
Tm (0.7663, 0.0000, 0.5000)  2 Ru 2.76
Ru (0.0000, 0.7242, 0.7242)  7 Tm 2.76-2.81
Tm (0.2225, 0.5000, 0.5000)  2 Ru 2.80, 2 Te 3.13
Tm (0.2337, 0.0000, 0.5000)  2 Ru 2.76
Ru (0.0000, 0.2758, 0.2758)  7 Tm 2.76-2.81
Tm (0.0000, 0.0000, 0.0000)  2 Ru 2.81
Tm (0.2337, 0.5000, 0.0000)  2 Ru 2.76
Tm (0.7663, 0.5000, 0.0000)  2 Ru 2.76
Tm (0.7775, 0.5000, 0.5000)  2 Ru 2.80, 2 Te 3.13



[2]
HfGaAs2Se after structural relaxation. Source: Alexandria, functional PBE.

Summary:
- SG: P4/mmm, No. 123
- Total magnetization: 0.00 μB per cell
- VASP energy: -23.19 eV per cell
- Excess energy over the best structure of this formula in the dataset: 554 meV per atom
- Formation energy without anion corrections: 0.51 eV/atom

Lattice parameters (Å, degrees): 4.7527 4.7527 4.9979 90.00 90.00 90.00
Last column: nearest neighbours and their distance in Å.
Sites, in units of the cell vectors:
As (0.0000, 0.5000, 0.0000)  2 Ga 2.38
Ga (0.0000, 0.0000, 0.0000)  4 As 2.38, 2 Se 2.50
Hf (0.5000, 0.5000, 0.5000)  4 Se 3.36, 8 As 3.45
Se (0.0000, 0.0000, 0.5000)  2 Ga 2.50
As (0.5000, 0.0000, 0.0000)  2 Ga 2.38



[3]
Fe7Ir after structural relaxation. Source: Alexandria, functional PBE.

Summary:
- SG: Fm-3m, No. 225
- Total magnetization: 16.96 μB per cell
- VASP energy: -67.24 eV per cell
- Formation energy: 0.11 eV/atom
- Excess energy over the best structure of this formula in the dataset: 130 meV per atom

Lattice parameters (Å, degrees): 5.1628 5.1628 5.1628 60.00 60.00 60.00
Last column: nearest neighbours and their distance in Å.
Sites, in units of the cell vectors:
Ir (0.0000, 0.0000, 0.0000)  12 Fe 2.58
Fe (0.0000, 0.0000, 0.5000)  10 Fe 2.58, 2 Ir 2.58
Fe (0.0000, 0.5000, 0.5000)  10 Fe 2.58, 2 Ir 2.58
Fe (0.5000, 0.5000, 0.0000)  10 Fe 2.58, 2 Ir 2.58
Fe (0.5000, 0.0000, 0.0000)  10 Fe 2.58, 2 Ir 2.58
Fe (0.0000, 0.5000, 0.0000)  10 Fe 2.58, 2 Ir 2.58
Fe (0.5000, 0.5000, 0.5000)  12 Fe 2.58
Fe (0.5000, 0.0000, 0.5000)  10 Fe 2.58, 2 Ir 2.58



[4]
MnCrAs2Se after structural relaxation. Source: Alexandria, functional PBE.

Summary:
- SG: P4/mmm, No. 123
- Total magnetization: 5.79 μB per cell
- VASP energy: -29.18 eV per cell
- Formation energy without anion corrections: 0.48 eV/atom

Lattice parameters (Å, degrees): 4.5008 4.5008 5.2417 90.00 90.00 90.00
Last column: nearest neighbours and their distance in Å.
Sites, in units of the cell vectors:
As (0.5000, 0.0000, 0.0000)  2 Mn 2.25
Cr (0.5000, 0.5000, 0.5000)  4 Se 3.18, 8 As 3.45
Mn (0.0000, 0.0000, 0.0000)  4 As 2.25
Se (0.0000, 0.0000, 0.5000)  2 Mn 2.62
As (0.0000, 0.5000, 0.0000)  2 Mn 2.25



[5]
FeRhS after structural relaxation. Source: Alexandria, functional PBE.

Summary:
- SG: R-3m, No. 166
- Total magnetization: 0.00 μB per cell
- VASP energy: -41.09 eV per cell
- Excess energy over the best structure of this formula in the dataset: 0 meV per atom
- Formation energy without anion corrections: -0.20 eV/atom

Lattice parameters (Å, degrees): 3.6306 3.6306 7.1773 75.35 75.35 60.00
Last column: nearest neighbours and their distance in Å.
Sites, in units of the cell vectors:
Rh (0.3793, 0.3793, 0.8621)  3 S 2.36
S (0.2346, 0.2346, 0.2961)  4 Fe 2.18-2.19, 3 Rh 2.36
Rh (0.6207, 0.6207, 0.1379)  3 S 2.36
Fe (0.8716, 0.8716, 0.3853)  4 S 2.18-2.19
S (0.7654, 0.7654, 0.7039)  4 Fe 2.18-2.19, 3 Rh 2.36
Fe (0.1284, 0.1284, 0.6147)  4 S 2.18-2.19



[6]
Mo after structural relaxation. Source: Alexandria, functional PBE.

Summary:
- SG: P6_3/m, No. 176
- Total magnetization: 0.00 μB per cell
- VASP energy: -122.37 eV per cell
- Formation energy: 0.63 eV/atom
- Excess energy over the best structure of this formula in the dataset: 634 meV per atom

Lattice parameters (Å, degrees): 7.2577 7.2577 4.5635 90.00 90.00 120.00
Last column: nearest neighbours and their distance in Å.
Sites, in units of the cell vectors:
Mo (0.8968, 0.7488, 0.7500)  8 Mo 2.55-2.80
Mo (0.2512, 0.1480, 0.7500)  8 Mo 2.55-2.80
Mo (0.8520, 0.1032, 0.7500)  8 Mo 2.55-2.80
Mo (0.1032, 0.2512, 0.2500)  8 Mo 2.55-2.80
Mo (0.0989, 0.5057, 0.7500)  6 Mo 2.55-2.80
Mo (0.4068, 0.9011, 0.7500)  6 Mo 2.55-2.80
Mo (0.7488, 0.8520, 0.2500)  8 Mo 2.55-2.80
Mo (0.5057, 0.4068, 0.2500)  6 Mo 2.55-2.80
Mo (0.9011, 0.4943, 0.2500)  6 Mo 2.55-2.80
Mo (0.4943, 0.5932, 0.7500)  6 Mo 2.55-2.80
Mo (0.5932, 0.0989, 0.2500)  6 Mo 2.55-2.80
Mo (0.1480, 0.8968, 0.2500)  8 Mo 2.55-2.80